Below is a geometry-optimized KNaTi4P6O24 structure, with properties calculated at the GGA-PBEsol level.

Cell lengths 8.479, 8.479, 8.966 Å; angles 61.78, 61.78, 60.00 degrees
Element x y z (fractional)
O (0.495, 0.718, 0.919)
O (0.132, 0.505, 0.081)
O (0.718, 0.868, 0.919)
O (0.582, 0.224, 0.773)
O (0.651, 0.751, 0.588)
O (0.989, 0.349, 0.412)
O (0.300, 0.938, 0.712)
O (0.700, 0.062, 0.288)
O (0.420, 0.582, 0.773)
O (0.049, 0.300, 0.712)
O (0.224, 0.420, 0.773)
O (0.751, 0.011, 0.588)
O (0.776, 0.580, 0.227)
O (0.418, 0.776, 0.227)
O (0.868, 0.495, 0.919)
O (0.062, 0.951, 0.288)
O (0.349, 0.249, 0.412)
O (0.938, 0.049, 0.712)
O (0.580, 0.418, 0.227)
O (0.011, 0.651, 0.588)
O (0.282, 0.132, 0.081)
O (0.249, 0.989, 0.412)
O (0.951, 0.700, 0.288)
O (0.505, 0.282, 0.081)
P (0.532, 0.252, 0.252)
P (0.036, 0.468, 0.748)
P (0.468, 0.748, 0.748)
P (0.748, 0.036, 0.748)
P (0.964, 0.532, 0.252)
P (0.252, 0.964, 0.252)
Ti (0.646, 0.646, 0.062)
Ti (0.852, 0.852, 0.443)
Ti (0.354, 0.354, 0.938)
Ti (0.148, 0.148, 0.557)
K (0.000, 0.000, 0.000)
Na (0.500, 0.500, 0.500)

Output
Energy relative to the elements, uncorrected   -2.5811 eV/atom
Fermi-level density of states   0.00 states/eV/atom
VASP energy   -8.0410 eV/atom
Total magnetization   0.0 μB/f.u.